Entry 1:
BaMg2Cu | PBE | relaxed

abc: 6.959 6.959 6.959
angles: 38.85 38.85 38.85
Positions (direct):
Ba 0.250 0.250 0.250
Cu 0.750 0.750 0.750
Mg 0.051 0.051 0.051
Mg 0.449 0.449 0.449

Results
**Crystal system**: trigonal
**Formation enthalpy at 0 K**: 0.073 eV per formula unit



Entry 2:
Y4AgRh | PBE | relaxed

abc: 6.071 6.071 6.071
angles: 60.00 60.00 60.00
Positions (direct):
Y 0.878 0.374 0.374
Y 0.374 0.374 0.878
Y 0.374 0.878 0.374
Y 0.374 0.374 0.374
Ag 0.750 0.750 0.750
Rh 0.000 0.000 0.000

Results
**Crystal system**: cubic
**Formation enthalpy at 0 K**: 3.506 eV per formula unit



Entry 3:
Tb3MoN4 | PBE | relaxed

abc: 4.872 6.704 7.809
angles: 90.00 90.00 90.00
Positions (direct):
Tb 0.565 0.849 0.000
Tb 0.064 0.672 0.251
Tb 0.564 0.328 0.249
Tb 0.065 0.151 0.500
Tb 0.564 0.328 0.751
Tb 0.064 0.672 0.749
Mo 0.049 0.178 0.000
Mo 0.549 0.822 0.500
N 0.061 0.877 0.000
N 0.589 0.176 0.000
N 0.061 0.314 0.234
N 0.561 0.686 0.266
N 0.089 0.824 0.500
N 0.561 0.123 0.500
N 0.561 0.686 0.734
N 0.061 0.314 0.766

Results
**Formation energy without anion corrections**: -1.14 eV per atom
**Crystal system**: orthorhombic



Entry 4:
BaTlHg2Bi | PBE | relaxed

abc: 5.189 4.936 7.532
angles: 109.13 110.15 90.00
Positions (direct):
Ba 0.454 0.454 0.909
Tl 0.194 0.694 0.388
Hg 0.672 0.172 0.344
Hg 0.059 0.059 0.117
Bi 0.833 0.833 0.667

Results
**Crystal system**: orthorhombic
**Formation enthalpy at 0 K**: -1.760 eV per formula unit